DFT (PBEsol) results for a relaxed TiIrSeN2 crystal.

Unit cell a=3.6847 b=3.6847 c=6.7783 alpha=90.00 beta=90.00 gamma=90.00
With the nearest neighbours (Å) after each atom.
Sites, in units of the cell vectors:
Ti 0.0000 0.0000 0.0000  4 Se 2.61
Ir 0.5000 0.5000 0.5000  4 N 1.84
Se 0.5000 0.5000 0.0000  4 Ti 2.61
N 0.0000 0.5000 0.5000  2 Ir 1.84
N 0.5000 0.0000 0.5000  2 Ir 1.84

## Properties
VASP energy (eV/atom): -7.230
Formation energy without anion corrections (eV/atom): 0.58

=====

DFT (PBEsol) results for a relaxed Li3Pt crystal.

Unit cell a=4.7856 b=4.7856 c=4.7856 alpha=90.00 beta=90.00 gamma=90.00
With the nearest neighbours (Å) after each atom.
Sites, in units of the cell vectors:
Li 0.0000 0.2500 0.5000  2 Li 2.39, 4 Pt 2.68
Li 0.0000 0.7500 0.5000  2 Li 2.39, 4 Pt 2.68
Li 0.2500 0.5000 0.0000  2 Li 2.39, 4 Pt 2.68
Li 0.5000 0.0000 0.2500  2 Li 2.39, 4 Pt 2.68
Li 0.5000 0.0000 0.7500  2 Li 2.39, 4 Pt 2.68
Li 0.7500 0.5000 0.0000  2 Li 2.39, 4 Pt 2.68
Pt 0.0000 0.0000 0.0000  12 Li 2.68
Pt 0.5000 0.5000 0.5000  12 Li 2.68

## Properties
Energy above the most stable polymorph in this dataset (eV per atom): 0.0262
VASP energy (eV/atom): -3.543

=====

DFT (PBEsol) results for a relaxed MnHgRu2 crystal.

Unit cell a=9.0018 b=9.0018 c=9.0018 alpha=17.75 beta=17.75 gamma=17.75
With the nearest neighbours (Å) after each atom.
Sites, in units of the cell vectors:
Mn 0.0000 0.0000 0.0000  3 Ru 2.61, 6 Mn 2.78, 3 Hg 2.83
Hg 0.2455 0.2455 0.2455  6 Hg 2.78, 3 Mn 2.83, 3 Ru 2.91
Ru 0.4872 0.4872 0.4872  9 Ru 2.59-2.78
Ru 0.7442 0.7442 0.7442  9 Ru 2.59-2.78, 3 Mn 2.61

## Properties
VASP energy (eV/atom): -7.250

=====

DFT (PBEsol) results for a relaxed NaSbN3 crystal.

Unit cell a=4.1537 b=4.1537 c=4.1537 alpha=90.00 beta=90.00 gamma=90.00
With the nearest neighbours (Å) after each atom.
Sites, in units of the cell vectors:
Na 0.0000 0.0000 0.0000  6 N 2.08
Sb 0.5000 0.5000 0.5000  12 N 2.94
N 0.0000 0.0000 0.5000  2 Na 2.08
N 0.0000 0.5000 0.0000  2 Na 2.08
N 0.5000 0.0000 0.0000  2 Na 2.08

## Properties
VASP energy (eV/atom): -3.987
Formation energy without anion corrections (eV/atom): 2.32